Nd2UNi | GGA-PBE | relaxed

Computed properties:
Space-group type: R-3m, No. 166
Energy relative to the elements, meV per atom: 505
Volume, Å³/atom: 26.47
Density of states at the Fermi level, states/eV/f.u.: 7.50

Lattice parameters (Å, degrees): 3.399 3.399 10.762 80.91 80.91 60.00
Each line ends with the local moment (μB).
Element x y z (fractional)
1 Nd 0.105 0.105 0.686  -0.05
2 Nd 0.895 0.895 0.314  -0.05
3 U 0.000 0.000 0.000  2.48
4 Ni 0.500 0.500 0.500  -0.02

NdUNi | GGA-PBE | relaxed

Computed properties:
Space-group type: Cmcm, No. 63
Energy relative to the elements, meV per atom: 192
Volume, Å³/atom: 21.98
Density of states at the Fermi level, states/eV/f.u.: 5.74

Lattice parameters (Å, degrees): 4.808 3.156 8.833 79.71 90.00 90.00
Each line ends with the local moment (μB).
Element x y z (fractional)
1 Nd 0.250 0.156 0.689  -0.01
2 Nd 0.750 0.844 0.311  -0.01
3 U 0.250 0.467 0.066  0.66
4 U 0.750 0.533 0.934  0.66
5 Ni 0.750 0.677 0.647  0.00
6 Ni 0.250 0.323 0.353  0.00

NdUNi2 | GGA-PBE | relaxed

Computed properties:
Space-group type: R-3m, No. 166
Energy relative to the elements, meV per atom: 30
Volume, Å³/atom: 21.10
Density of states at the Fermi level, states/eV/f.u.: 6.34

Lattice parameters (Å, degrees): 3.685 3.685 7.484 75.75 75.75 60.00
Each line ends with the local moment (μB).
Element x y z (fractional)
1 Nd 0.500 0.500 0.500  -0.02
2 U 0.000 0.000 0.000  1.17
3 Ni 0.739 0.739 0.784  -0.04
4 Ni 0.261 0.261 0.216  -0.04

NdU2Ni9 | GGA-PBE | relaxed

Computed properties:
Space-group type: R-3m, No. 166
Energy relative to the elements, meV per atom: -279
Volume, Å³/atom: 14.26
Density of states at the Fermi level, states/eV/f.u.: 14.78

Lattice parameters (Å, degrees): 4.909 4.909 8.674 73.56 73.56 60.00
Each line ends with the local moment (μB).
Element x y z (fractional)
1 Nd 0.000 0.000 0.000  0.01
2 U 0.858 0.858 0.426  1.61
3 U 0.142 0.142 0.574  1.61
4 Ni 0.667 0.667 0.999  0.03
5 Ni 0.333 0.333 0.001  0.03
6 Ni 0.500 0.500 0.500  -0.03
7 Ni 0.416 0.416 0.252  -0.03
8 Ni 0.917 0.416 0.252  -0.03
9 Ni 0.416 0.917 0.252  -0.03
10 Ni 0.584 0.584 0.748  -0.03
11 Ni 0.584 0.083 0.748  -0.03
12 Ni 0.083 0.584 0.748  -0.03